DFT (PBE) results for an optimized crystal structure of Pm3Dy7.

The value obtained for the raw total energy is -4.631 eV per atom. The value obtained for the excess energy over the best structure of this formula in the dataset is 0.00 eV per formula unit. The value obtained for the mass density is 8.1 g/cm³. As for the energy relative to the elements: 0.16 eV/f.u.

The structure belongs to space group C2/m (No. 12); the cell edges are 18.2128, 5.0494 and 7.1607 Å and the angles 90.00°, 101.33° and 90.00°. The distinct sites, in fractional coordinates, are Pm at (0.0000, 0.0000, 0.0000), Pm at (0.1991, 0.0000, 0.6002), Dy at (0.0000, 0.0000, 0.5000), Dy at (0.0995, 0.5000, 0.2997), Dy at (0.1002, 0.5000, 0.8007) and Dy at (0.1997, 0.0000, 0.0998).

DFT (PBE) results for an optimized crystal structure of PmDy2.

The value obtained for the raw total energy is -4.369 eV per atom. The value obtained for the excess energy over the best structure of this formula in the dataset is 0.83 eV per formula unit. The value obtained for the mass density is 7.6 g/cm³. As for the energy relative to the elements: 0.85 eV/f.u.

The structure belongs to space group Fd-3m (No. 227, origin choice 2); the cell edges are 9.3585, 9.3585 and 9.3585 Å and the angles 90.00°, 90.00° and 90.00°. The distinct sites, in fractional coordinates, are Pm at (0.1250, 0.1250, 0.1250) and Dy at (0.0000, 0.0000, 0.5000).

DFT (PBE) results for an optimized crystal structure of Pm3Dy.

The value obtained for the raw total energy is -4.697 eV per atom. The value obtained for the excess energy over the best structure of this formula in the dataset is 0.07 eV per formula unit. The value obtained for the mass density is 7.4 g/cm³. As for the energy relative to the elements: 0.07 eV/f.u.

The structure belongs to space group Pm-3m (No. 221); the cell edges are 5.1217, 5.1217 and 5.1217 Å and the angles 90.00°, 90.00° and 90.00°. The distinct sites, in fractional coordinates, are Pm at (0.0000, 0.0000, 0.5000) and Dy at (0.5000, 0.5000, 0.5000).

DFT (PBE) results for an optimized crystal structure of Pm3Dy.

The value obtained for the raw total energy is -4.690 eV per atom. The value obtained for the excess energy over the best structure of this formula in the dataset is 0.09 eV per formula unit. The value obtained for the mass density is 7.3 g/cm³. As for the energy relative to the elements: 0.09 eV/f.u.

The structure belongs to space group P6_3/mmc (No. 194); the cell edges are 7.3450, 7.3450 and 5.8235 Å and the angles 90.00°, 90.00° and 120.00°. The distinct sites, in fractional coordinates, are Pm at (0.1671, 0.3343, 0.2500) and Dy at (0.3333, 0.6667, 0.7500).

DFT (PBE) results for an optimized crystal structure of Pm3Dy13.

The value obtained for the raw total energy is -4.615 eV per atom. The value obtained for the mass density is 8.3 g/cm³. As for the energy relative to the elements: 0.24 eV/f.u.

The structure belongs to space group Amm2 (No. 38); the cell edges are 10.0583, 10.0765 and 10.0829 Å and the angles 90.00°, 90.00° and 90.00°. The distinct sites, in fractional coordinates, are Pm at (0.0000, 0.0000, 0.0000), Pm at (0.2506, 0.0000, 0.2516), Dy at (0.0000, 0.0000, 0.5021), Dy at (0.0000, 0.2487, 0.7510), Dy at (0.2510, 0.0000, 0.7504), Dy at (0.2509, 0.2505, 0.0010), Dy at (0.5000, 0.0000, 0.9997), Dy at (0.5000, 0.0000, 0.5024) and Dy at (0.5000, 0.2490, 0.7511).

DFT (PBE) results for an optimized crystal structure of Pm7Dy5.

The value obtained for the raw total energy is -4.683 eV per atom. The value obtained for the excess energy over the best structure of this formula in the dataset is 0.00 eV per formula unit. The value obtained for the mass density is 7.6 g/cm³. As for the energy relative to the elements: 0.07 eV/f.u.

The structure belongs to space group C2/m (No. 12); the cell edges are 18.7785, 3.6235 and 13.2560 Å and the angles 90.00°, 118.15° and 90.00°. The distinct sites, in fractional coordinates, are Pm at (0.0000, 0.0000, 0.0000), Pm at (0.0282, 0.5000, 0.2498), Pm at (0.1394, 0.0000, 0.7511), Pm at (0.1672, 0.0000, 0.5023), Dy at (0.0000, 0.5000, 0.5000), Dy at (0.1677, 0.5000, 0.0014) and Dy at (0.1942, 0.0000, 0.2484).

DFT (PBE) results for an optimized crystal structure of Pm6Dy.

The value obtained for the raw total energy is -3.452 eV per atom. The value obtained for the excess energy over the best structure of this formula in the dataset is 7.24 eV per formula unit. The value obtained for the mass density is 6.4 g/cm³. As for the energy relative to the elements: 8.94 eV/f.u.

The structure belongs to space group Im-3m (No. 229); the cell edges are 8.1158, 8.1158 and 8.1158 Å and the angles 90.00°, 90.00° and 90.00°. The distinct sites, in fractional coordinates, are Pm at (0.0000, 0.2500, 0.5000) and Dy at (0.0000, 0.0000, 0.0000).

DFT (PBE) results for an optimized crystal structure of PmDy7.

The value obtained for the raw total energy is -4.605 eV per atom. The value obtained for the mass density is 8.4 g/cm³. As for the energy relative to the elements: 0.13 eV/f.u.

The structure belongs to space group Fm-3m (No. 225); the cell edges are 10.0399, 10.0399 and 10.0399 Å and the angles 90.00°, 90.00° and 90.00°. The distinct sites, in fractional coordinates, are Pm at (0.0000, 0.0000, 0.0000), Dy at (0.0000, 0.0000, 0.5000) and Dy at (0.0000, 0.2500, 0.2500).

DFT (PBE) results for an optimized crystal structure of Pm3Dy13.

The value obtained for the raw total energy is -4.615 eV per atom. The value obtained for the mass density is 8.2 g/cm³. As for the energy relative to the elements: 0.24 eV/f.u.

The structure belongs to space group Amm2 (No. 38); the cell edges are 7.2789, 11.3420 and 12.5708 Å and the angles 90.00°, 90.00° and 90.00°. The distinct sites, in fractional coordinates, are Pm at (0.0000, 0.0000, 0.0000), Pm at (0.2510, 0.0000, 0.7475), Dy at (0.0000, 0.0000, 0.4974), Dy at (0.0000, 0.2490, 0.1657), Dy at (0.2502, 0.0000, 0.2494), Dy at (0.2508, 0.2480, 0.4157), Dy at (0.5000, 0.0000, 0.9999), Dy at (0.5000, 0.0000, 0.4974) and Dy at (0.5000, 0.2477, 0.1657).

DFT (PBE) results for an optimized crystal structure of PmDy2.

The value obtained for the raw total energy is -4.633 eV per atom. The value obtained for the excess energy over the best structure of this formula in the dataset is 0.04 eV per formula unit. The value obtained for the mass density is 8.0 g/cm³. As for the energy relative to the elements: 0.06 eV/f.u.

The structure belongs to space group I4/mmm (No. 139); the cell edges are 3.5774, 3.5774 and 15.1833 Å and the angles 90.00°, 90.00° and 90.00°. The distinct sites, in fractional coordinates, are Pm at (0.0000, 0.0000, 0.0000) and Dy at (0.0000, 0.0000, 0.3320).

DFT (PBE) results for an optimized crystal structure of Pm5Dy.

The value obtained for the raw total energy is -4.712 eV per atom. The value obtained for the mass density is 7.3 g/cm³. As for the energy relative to the elements: 0.08 eV/f.u.

The structure belongs to space group Pmmn (No. 59, origin choice 2); the cell edges are 5.1430, 10.8772 and 7.2647 Å and the angles 90.00°, 90.00° and 90.00°. The distinct sites, in fractional coordinates, are Pm at (0.2500, 0.0832, 0.1242), Pm at (0.2500, 0.0843, 0.6259), Pm at (0.2500, 0.7500, 0.6259) and Dy at (0.2500, 0.7500, 0.1238).

DFT (PBE) results for an optimized crystal structure of Pm3Dy7.

The value obtained for the raw total energy is -4.466 eV per atom. The value obtained for the excess energy over the best structure of this formula in the dataset is 1.65 eV per formula unit. The value obtained for the mass density is 8.0 g/cm³. As for the energy relative to the elements: 1.81 eV/f.u.

The structure belongs to space group P6_3mc (No. 186); the cell edges are 10.7891, 10.7891 and 6.4938 Å and the angles 90.00°, 90.00° and 120.00°. The distinct sites, in fractional coordinates, are Pm at (0.2038, 0.4075, 0.0000), Dy at (0.0587, 0.5293, 0.6548), Dy at (0.1207, 0.2414, 0.4808) and Dy at (0.3333, 0.6667, 0.3477).

DFT (PBE) results for an optimized crystal structure of Pm3Dy.

The value obtained for the raw total energy is -4.686 eV per atom. The value obtained for the excess energy over the best structure of this formula in the dataset is 0.11 eV per formula unit. The value obtained for the mass density is 7.3 g/cm³. As for the energy relative to the elements: 0.11 eV/f.u.

The structure belongs to space group Imm2 (No. 44); the cell edges are 3.6686, 11.6850 and 6.3368 Å and the angles 90.00°, 90.00° and 90.00°. The distinct sites, in fractional coordinates, are Pm at (0.0000, 0.0000, 0.0000), Pm at (0.0000, 0.2486, 0.3322) and Dy at (0.0000, 0.5000, 0.0013).

DFT (PBE) results for an optimized crystal structure of Pm3Dy.

The value obtained for the raw total energy is -4.683 eV per atom. The value obtained for the excess energy over the best structure of this formula in the dataset is 0.12 eV per formula unit. The value obtained for the mass density is 7.3 g/cm³. As for the energy relative to the elements: 0.12 eV/f.u.

The structure belongs to space group Pmm2 (No. 25); the cell edges are 3.6706, 5.8377 and 6.3477 Å and the angles 90.00°, 90.00° and 90.00°. The distinct sites, in fractional coordinates, are Pm at (0.0000, 0.0000, 0.0000), Pm at (0.0000, 0.5000, 0.3335), Pm at (0.5000, 0.5000, 0.8339) and Dy at (0.5000, 0.0000, 0.5009).

DFT (PBE) results for an optimized crystal structure of PmDy2.

The value obtained for the raw total energy is -4.453 eV per atom. The value obtained for the excess energy over the best structure of this formula in the dataset is 0.58 eV per formula unit. The value obtained for the mass density is 7.8 g/cm³. As for the energy relative to the elements: 0.60 eV/f.u.

The structure belongs to space group Immm (No. 71); the cell edges are 3.4338, 5.8666 and 9.9296 Å and the angles 90.00°, 90.00° and 90.00°. The distinct sites, in fractional coordinates, are Pm at (0.0000, 0.0000, 0.0000) and Dy at (0.0000, 0.5000, 0.1873).

DFT (PBE) results for an optimized crystal structure of PmDy5.

The value obtained for the raw total energy is -4.609 eV per atom. The value obtained for the mass density is 8.3 g/cm³. As for the energy relative to the elements: 0.11 eV/f.u.

The structure belongs to space group Cmmm (No. 65); the cell edges are 5.0307, 15.0999 and 5.0352 Å and the angles 90.00°, 90.00° and 90.00°. The distinct sites, in fractional coordinates, are Pm at (0.0000, 0.0000, 0.0000), Dy at (0.0000, 0.1671, 0.5000), Dy at (0.0000, 0.3325, 0.0000) and Dy at (0.0000, 0.5000, 0.5000).

DFT (PBE) results for an optimized crystal structure of Pm4Dy.

The value obtained for the raw total energy is -4.709 eV per atom. The value obtained for the excess energy over the best structure of this formula in the dataset is 0.00 eV per formula unit. The value obtained for the mass density is 7.3 g/cm³. As for the energy relative to the elements: 0.06 eV/f.u.

The structure belongs to space group C2/m (No. 12); the cell edges are 6.2876, 3.6277 and 14.9271 Å and the angles 90.00°, 98.01° and 90.00°. The distinct sites, in fractional coordinates, are Pm at (0.1010, 0.0000, 0.3031), Pm at (0.2005, 0.5000, 0.1008) and Dy at (0.0000, 0.5000, 0.5000).

DFT (PBE) results for an optimized crystal structure of Pm5Dy2.

The value obtained for the raw total energy is -4.601 eV per atom. The value obtained for the excess energy over the best structure of this formula in the dataset is 0.57 eV per formula unit. The value obtained for the mass density is 7.3 g/cm³. As for the energy relative to the elements: 0.75 eV/f.u.

The structure belongs to space group C2/m (No. 12); the cell edges are 11.8746, 3.5407 and 11.7047 Å and the angles 90.00°, 104.46° and 90.00°. The distinct sites, in fractional coordinates, are Pm at (0.0000, 0.0000, 0.0000), Pm at (0.0353, 0.5000, 0.2873), Pm at (0.2364, 0.0000, 0.8641) and Dy at (0.1471, 0.0000, 0.5591).

DFT (PBE) results for an optimized crystal structure of Pm8Dy3.

The value obtained for the raw total energy is -4.553 eV per atom. The value obtained for the excess energy over the best structure of this formula in the dataset is 0.00 eV per formula unit. The value obtained for the mass density is 7.3 g/cm³. As for the energy relative to the elements: 1.73 eV/f.u.

The structure belongs to space group P-1 (No. 2); the cell edges are 6.4192, 6.9604 and 9.9390 Å and the angles 98.59°, 98.70° and 117.46°. The distinct sites, in fractional coordinates, are Pm at (0.1488, 0.2002, 0.1610), Pm at (0.1850, 0.6962, 0.6409), Pm at (0.2695, 0.3670, 0.8479), Pm at (0.3261, 0.7980, 0.3042), Dy at (0.0000, 0.0000, 0.5000), Dy at (0.5000, 0.0000, 0.0000) and Dy at (0.5000, 0.5000, 0.5000).

DFT (PBE) results for an optimized crystal structure of PmDy2.

The value obtained for the raw total energy is -4.646 eV per atom. The value obtained for the excess energy over the best structure of this formula in the dataset is 0.00 eV per formula unit. The value obtained for the mass density is 8.0 g/cm³. As for the energy relative to the elements: 0.02 eV/f.u.

The structure belongs to space group R-3m (No. 166, hexagonal axes); the cell edges are 3.5920, 3.5920 and 52.1398 Å and the angles 90.00°, 90.00° and 120.00°. The distinct sites, in fractional coordinates, are Pm at (0.0000, 0.0000, 0.0835), Dy at (0.0000, 0.0000, 0.1938) and Dy at (0.0000, 0.0000, 0.3608).